# 1
An optimized crystal structure of La2ZrCd, computed with PBE-GGA.

Crystal system: monoclinic

a b c (Å): 3.311 5.508 6.237
angles (deg): 90.00 97.80 90.00
Space group P2/m (No. 10)
One atom of each set of equivalent atoms:
La: 0.213 0.000 0.260
Zr: 0.000 0.500 0.500
Cd: 0.500 0.500 0.000


# 2
An optimized crystal structure of La2ZrCd, computed with PBE-GGA.

Crystal system: tetragonal

a b c (Å): 4.871 4.871 4.839
angles (deg): 90.00 90.00 90.00
Space group P4/mmm (No. 123)
One atom of each set of equivalent atoms:
La: 0.000 0.500 0.000
Zr: 0.000 0.000 0.500
Cd: 0.500 0.500 0.500


no.,E (eV/cell)
1,-18.85
2,-19.20